Version i
DFT (GGA+U) results for a relaxed Mg6MnBiO8 crystal.

Structure (POSCAR):
```
Mg6MnBiO8
1.0
4.523 0.000 0.000
0.000 4.523 0.000
0.000 0.000 9.034
Mg Mn Bi O
6 1 1 8
direct
0.000 0.000 0.000
0.000 0.500 0.230
0.000 0.500 0.770
0.500 0.000 0.230
0.500 0.000 0.770
0.500 0.500 0.000
0.000 0.000 0.500
0.500 0.500 0.500
0.000 0.000 0.240
0.000 0.000 0.760
0.000 0.500 0.000
0.000 0.500 0.500
0.500 0.000 0.000
0.500 0.000 0.500
0.500 0.500 0.223
0.500 0.500 0.777
```

Version ii
DFT (GGA+U) results for a relaxed Mg6MnBiO8 crystal.

Structure (POSCAR):
```
Mg6MnBiO8
1.0
4.547 0.000 0.000
0.000 4.547 0.000
0.000 0.000 8.984
Mg Mn Bi O
6 1 1 8
direct
0.000 0.000 0.000
0.000 0.000 0.500
0.000 0.500 0.235
0.000 0.500 0.765
0.500 0.000 0.235
0.500 0.000 0.765
0.500 0.500 0.000
0.500 0.500 0.500
0.000 0.000 0.249
0.000 0.000 0.751
0.000 0.500 0.000
0.000 0.500 0.500
0.500 0.000 0.000
0.500 0.000 0.500
0.500 0.500 0.233
0.500 0.500 0.767
```

Question: of the structures shown, which is the least stable? Reply: version ii.